No. 1
## AgPbNO (GGA-PBE)

Data for crystalline AgPbNO at its relaxed geometry.

a = 3.596 Å, b = 5.928 Å, c = 6.538 Å
α = 90.00°, β = 90.00°, γ = 90.00°
Atoms (fractional coordinates):
Ag  0.000  0.502  0.359
Ag  0.000  0.002  0.641
N  0.000  0.878  0.322
N  0.000  0.378  0.678
O  0.500  0.371  0.139
O  0.500  0.871  0.861
Pb  0.500  0.003  0.174
Pb  0.500  0.503  0.826

Energy above the most stable polymorph in this dataset ... 0.000 eV/atom
Energy ... -4.679 eV per atom

No. 2
## ScNi2Os3 (GGA-PBE)

Data for crystalline ScNi2Os3 at its relaxed geometry.

a = 5.063 Å, b = 5.063 Å, c = 4.115 Å
α = 90.00°, β = 90.00°, γ = 119.97°
Atoms (fractional coordinates):
Ni  0.667  0.333  0.000
Ni  0.333  0.667  0.000
Os  0.500  0.000  0.500
Os  0.000  0.500  0.500
Os  0.500  0.500  0.500
Sc  0.000  0.000  0.000

Formation enthalpy at 0 K ... -5 meV/atom
Energy ... -8.529 eV per atom

No. 3
## Hf3FeP (GGA-PBE)

Data for crystalline Hf3FeP at its relaxed geometry.

a = 6.060 Å, b = 6.060 Å, c = 9.307 Å
α = 90.00°, β = 90.00°, γ = 147.12°
Last column: magnetic moment on the atom in μB.
Atoms (fractional coordinates):
Fe  0.250  0.750  0.250  -0.50
Fe  0.750  0.250  0.750  -0.50
Hf  0.651  0.349  0.075  0.04
Hf  0.914  0.086  0.250  0.04
Hf  0.651  0.349  0.425  0.04
Hf  0.349  0.651  0.575  0.04
Hf  0.086  0.914  0.750  0.04
Hf  0.349  0.651  0.925  0.04
P  0.000  0.000  0.000  -0.01
P  0.000  0.000  0.500  -0.01

Energy ... -9.274 eV per atom

No. 4
## TbY2In3Ir2Pd (GGA-PBE)

Data for crystalline TbY2In3Ir2Pd at its relaxed geometry.

a = 3.887 Å, b = 7.608 Å, c = 7.608 Å
α = 119.78°, β = 90.00°, γ = 90.00°
Atoms (fractional coordinates):
In  0.500  0.740  0.002
In  0.500  0.258  0.258
In  0.500  0.002  0.740
Ir  0.500  0.666  0.336
Ir  0.500  0.336  0.666
Pd  0.000  0.998  0.998
Tb  0.000  0.588  0.588
Y  0.000  0.411  0.001
Y  0.000  0.001  0.411

Energy ... -6.157 eV per atom

Question: Which of these has the highest energy?
Answer: AgPbNO

Question: Look up the energy of the third one.
Answer: -9.274 eV per atom

Question: Number 1 is which compound?
Answer: AgPbNO

Repeat the fourth record exactly.
## TbY2In3Ir2Pd (GGA-PBE)

Data for crystalline TbY2In3Ir2Pd at its relaxed geometry.

a = 3.887 Å, b = 7.608 Å, c = 7.608 Å
α = 119.78°, β = 90.00°, γ = 90.00°
Atoms (fractional coordinates):
In  0.500  0.740  0.002
In  0.500  0.258  0.258
In  0.500  0.002  0.740
Ir  0.500  0.666  0.336
Ir  0.500  0.336  0.666
Pd  0.000  0.998  0.998
Tb  0.000  0.588  0.588
Y  0.000  0.411  0.001
Y  0.000  0.001  0.411

Energy ... -6.157 eV per atom